Material: HfTi3Ga
Method: DFT, PBE-GGA
State: optimized geometry

Cell lengths 4.8276, 4.8276, 4.8276 Å; angles 90.00, 90.00, 90.00 degrees
Last column: nearest neighbours and their distance in Å.
Positions (direct):
Hf 0.0000 0.0000 0.0000  6 Ti 2.41
Ti 0.0000 0.5000 0.0000  2 Hf 2.41
Ga 0.5000 0.5000 0.5000  12 Ti 3.41
Ti 0.0000 0.0000 0.5000  2 Hf 2.41
Ti 0.5000 0.0000 0.0000  2 Hf 2.41

Output
The distance to the lowest polymorph of the same formula is 1181 meV/atom. The calculation puts the formation energy from the elements at 1.165 eV/atom. The density is 5.8 g cm⁻³.

***

Material: HfTi3Ga
Method: DFT, PBE-GGA
State: optimized geometry

Cell lengths 3.7912, 3.7912, 6.9605 Å; angles 105.80, 105.80, 90.00 degrees
Last column: nearest neighbours and their distance in Å.
Positions (direct):
Ti 0.7715 0.2715 0.5430  6 Ti 2.68-2.69, 2 Ga 2.75
Ga 0.6168 0.6168 0.2335  5 Ti 2.53-2.75
Ti 0.2715 0.7715 0.5430  6 Ti 2.68-2.69, 2 Ga 2.75
Ti 0.4199 0.4199 0.8397  1 Ga 2.53, 4 Ti 2.69
Hf 0.0106 0.0106 0.0211  4 Ti 2.92, 4 Ga 3.01

Output
The distance to the lowest polymorph of the same formula is 0 meV/atom. The calculation puts the formation energy from the elements at -0.016 eV/atom. The density is 7.0 g cm⁻³.

***

Material: HfTi9Ga2
Method: DFT, PBE-GGA
State: optimized geometry

Cell lengths 5.5838, 5.5838, 8.5728 Å; angles 70.99, 70.99, 60.00 degrees
Last column: nearest neighbours and their distance in Å.
Positions (direct):
Ti 0.5000 0.5000 0.5000  6 Ti 2.55
Ti 0.9243 0.4101 0.2555  5 Ti 2.55-2.71
Ti 0.4101 0.9243 0.2555  5 Ti 2.55-2.71
Ti 0.5899 0.0757 0.7445  5 Ti 2.55-2.71
Ti 0.3333 0.3333 0.0002  6 Ti 2.56-2.62
Ti 0.6667 0.6667 0.9998  6 Ti 2.56-2.62
Ti 0.0757 0.5899 0.7445  5 Ti 2.55-2.71
Ga 0.1400 0.1400 0.5801  12 Ti 3.02-3.29, 1 Hf 3.34
Ga 0.8600 0.8600 0.4199  12 Ti 3.02-3.29, 1 Hf 3.34
Ti 0.5899 0.5899 0.7445  5 Ti 2.55-2.71
Ti 0.4101 0.4101 0.2555  5 Ti 2.55-2.71
Hf 0.0000 0.0000 0.0000  18 Ti 3.22-3.45, 2 Ga 3.34

Output
The calculation puts the formation energy from the elements at 0.149 eV/atom. The density is 5.8 g cm⁻³.

***

Material: Hf2TiGa2
Method: DFT, PBE-GGA
State: optimized geometry

Cell lengths 3.9691, 3.9691, 6.8320 Å; angles 73.11, 73.11, 90.00 degrees
Last column: nearest neighbours and their distance in Å.
Positions (direct):
Hf 0.7500 0.2500 0.5000  4 Ga 2.78, 4 Hf 2.81
Hf 0.2500 0.7500 0.5000  4 Ga 2.78, 4 Hf 2.81
Ga 0.4068 0.4068 0.1864  1 Ga 2.32
Ti 0.0000 0.0000 0.0000  8 Ga 3.04
Ga 0.5932 0.5932 0.8136  1 Ga 2.32

Output
The distance to the lowest polymorph of the same formula is 409 meV/atom. The calculation puts the formation energy from the elements at -0.024 eV/atom. The density is 9.2 g cm⁻³.

***

Material: HfTi6Ga8
Method: DFT, PBE-GGA
State: optimized geometry

Cell lengths 7.7038, 7.7038, 6.8107 Å; angles 55.56, 55.56, 60.00 degrees
Last column: nearest neighbours and their distance in Å.
Positions (direct):
Ga 0.9444 0.5723 0.3178  2 Ga 2.54-2.61, 5 Ti 2.63-2.84, 1 Hf 2.83
Ga 0.8345 0.0556 0.6822  2 Ga 2.54-2.61, 5 Ti 2.63-2.84, 1 Hf 2.83
Ti 0.3477 0.6051 0.1982  6 Ga 2.61-2.84
Ga 0.7144 0.7144 0.8568  3 Ti 2.61, 3 Ga 2.61
Hf 0.0000 0.0000 0.0000  6 Ga 2.83, 6 Ti 3.09
Ti 0.6051 0.8490 0.1982  6 Ga 2.61-2.84
Ti 0.1510 0.6523 0.8018  6 Ga 2.61-2.84
Ga 0.5723 0.1655 0.3178  2 Ga 2.54-2.61, 5 Ti 2.63-2.84, 1 Hf 2.83
Ga 0.4277 0.8345 0.6822  2 Ga 2.54-2.61, 5 Ti 2.63-2.84, 1 Hf 2.83
Ga 0.2856 0.2856 0.1432  3 Ti 2.61, 3 Ga 2.61
Ga 0.1655 0.9444 0.3178  2 Ga 2.54-2.61, 5 Ti 2.63-2.84, 1 Hf 2.83
Ti 0.8490 0.3477 0.1982  6 Ga 2.61-2.84
Ti 0.3949 0.1510 0.8018  6 Ga 2.61-2.84
Ga 0.0556 0.4277 0.6822  2 Ga 2.54-2.61, 5 Ti 2.63-2.84, 1 Hf 2.83
Ti 0.6523 0.3949 0.8018  6 Ga 2.61-2.84

Output
The calculation puts the formation energy from the elements at -0.265 eV/atom. The density is 6.4 g cm⁻³.

***

Material: HfTi2Ga3
Method: DFT, PBE-GGA
State: optimized geometry

Cell lengths 5.2692, 8.8872, 6.9141 Å; angles 129.99, 112.40, 90.00 degrees
Last column: nearest neighbours and their distance in Å.
Positions (direct):
Ga 0.0000 0.5000 0.5000  4 Ga 2.65, 4 Ti 2.70
Ti 0.1663 0.9160 0.8321  6 Ga 2.70
Ti 0.1658 0.4160 0.8321  6 Ga 2.70
Hf 0.5000 0.7500 0.5000  6 Ti 3.04-3.07
Ga 0.5000 0.2501 0.0000  4 Ga 2.63-2.65, 4 Ti 2.70
Ti 0.8337 0.0840 0.1679  6 Ga 2.70
Ga 0.5000 0.7499 0.0000  4 Ga 2.63-2.65, 4 Ti 2.70
Hf 0.5000 0.2500 0.5000  6 Ti 3.04-3.07
Ti 0.8342 0.5840 0.1679  6 Ga 2.70
Ga 0.0000 0.2499 0.0000  4 Ga 2.63-2.65, 4 Ti 2.70
Ga 0.0000 0.0000 0.5000  4 Ga 2.65, 4 Ti 2.70
Ga 0.0000 0.7501 0.0000  4 Ga 2.63-2.65, 4 Ti 2.70

Output
The calculation puts the formation energy from the elements at -0.234 eV/atom. The density is 7.5 g cm⁻³.

***

Material: Hf6TiGa5
Method: DFT, PBE-GGA
State: optimized geometry

Cell lengths 5.3499, 9.1958, 6.7376 Å; angles 46.97, 79.90, 75.11 degrees
Last column: nearest neighbours and their distance in Å.
Positions (direct):
Ga 0.5000 0.8680 0.2641  1 Ga 2.60, 2 Hf 2.87
Hf 0.7332 0.4465 0.6495  4 Ga 2.76-2.87, 1 Hf 3.01, 1 Ti 3.07
Hf 0.7747 0.7186 0.0000  5 Ga 2.78-2.93
Ga 0.5000 0.1320 0.7359  1 Ga 2.60, 2 Hf 2.87
Ga 0.5000 0.5000 0.0000  6 Hf 2.76-2.78
Ga 0.0000 0.2921 0.4157  6 Hf 2.78-2.91, 1 Ti 2.88, 2 Ga 3.11
Ti 0.0000 0.0000 0.0000  6 Ga 2.88-2.97, 6 Hf 3.07-3.12
Ga 0.0000 0.7079 0.5843  6 Hf 2.78-2.91, 1 Ti 2.88, 2 Ga 3.11
Hf 0.7332 0.0960 0.3505  4 Ga 2.76-2.87, 1 Hf 3.01, 1 Ti 3.07
Hf 0.2668 0.9040 0.6495  4 Ga 2.76-2.87, 1 Hf 3.01, 1 Ti 3.07
Hf 0.2668 0.5535 0.3505  4 Ga 2.76-2.87, 1 Hf 3.01, 1 Ti 3.07
Hf 0.2253 0.2814 0.0000  5 Ga 2.78-2.93

Output
The calculation puts the formation energy from the elements at -0.226 eV/atom. The density is 10.4 g cm⁻³.

***

Material: Hf3Ti4Ga2
Method: DFT, PBE-GGA
State: optimized geometry

Cell lengths 4.8088, 4.6580, 8.5500 Å; angles 92.82, 90.00, 121.08 degrees
Last column: nearest neighbours and their distance in Å.
Positions (direct):
Ti 0.3308 0.6617 0.8895  4 Ga 2.74-2.85, 4 Hf 2.85-2.89
Ti 0.0023 0.0047 0.6675  5 Hf 2.84-3.18, 2 Ti 2.86-3.15, 3 Ga 2.90-2.94
Ga 0.6645 0.3291 0.7893  7 Ti 2.74-2.94, 1 Hf 2.93
Hf 0.0000 0.0000 0.0000  8 Ti 2.84-2.89, 2 Ga 3.14
Hf 0.6670 0.3340 0.4470  3 Hf 2.86-2.87, 5 Ti 2.87-3.18, 1 Ga 2.93
Ti 0.6692 0.3383 0.1105  4 Ga 2.74-2.85, 4 Hf 2.85-2.89
Ti 0.9977 0.9953 0.3325  5 Hf 2.84-3.18, 2 Ti 2.86-3.15, 3 Ga 2.90-2.94
Ga 0.3355 0.6709 0.2107  7 Ti 2.74-2.94, 1 Hf 2.93
Hf 0.3330 0.6660 0.5530  3 Hf 2.86-2.87, 5 Ti 2.87-3.18, 1 Ga 2.93

Output
The calculation puts the formation energy from the elements at -0.055 eV/atom. The density is 8.8 g cm⁻³.

***

Material: Hf4TiGa
Method: DFT, PBE-GGA
State: optimized geometry

Cell lengths 4.5490, 4.5493, 6.6282 Å; angles 90.00, 90.00, 90.00 degrees
Last column: nearest neighbours and their distance in Å.
Positions (direct):
Hf 0.5013 0.9973 0.7412  2 Ti 2.79, 2 Ga 2.84
Ti 0.0013 0.9973 0.4982  8 Hf 2.79
Hf 0.0013 0.4974 0.7413  2 Ti 2.79, 2 Ga 2.84
Hf 0.0013 0.4973 0.2551  2 Ti 2.79, 2 Ga 2.84
Hf 0.5013 0.9972 0.2550  2 Ti 2.79, 2 Ga 2.84
Ga 0.5013 0.4972 0.9981  8 Hf 2.84

Output
The calculation puts the formation energy from the elements at 0.392 eV/atom. The density is 10.1 g cm⁻³.

***

Material: Hf2TiGa
Method: DFT, PBE-GGA
State: optimized geometry

Cell lengths 3.1228, 3.1228, 9.5641 Å; angles 80.60, 80.60, 60.00 degrees
Last column: nearest neighbours and their distance in Å.
Positions (direct):
Ti 0.4996 0.4996 0.5011  6 Hf 2.95-2.97, 6 Ti 3.12
Ga 0.6667 0.6667 0.0000  6 Hf 2.95-2.96, 6 Ga 3.12
Hf 0.0835 0.0835 0.7496  3 Ti 2.95, 3 Ga 2.96, 6 Hf 3.12
Hf 0.2502 0.2502 0.2493  3 Ga 2.95, 3 Ti 2.97, 6 Hf 3.12

Output
The calculation puts the formation energy from the elements at -0.102 eV/atom. The density is 9.9 g cm⁻³.

***

Material: HfTi12Ga6
Method: DFT, PBE-GGA
State: optimized geometry

Cell lengths 6.8608, 6.8608, 6.8608 Å; angles 89.34, 89.34, 89.34 degrees
Last column: nearest neighbours and their distance in Å.
Positions (direct):
Ti 0.8035 0.5232 0.4405  4 Ga 2.65-2.89, 4 Ti 2.70-2.84
Ti 0.3874 0.0686 0.1507  4 Ti 2.70-2.77, 4 Ga 2.73-3.01, 1 Hf 2.91
Ti 0.5232 0.4405 0.8035  4 Ga 2.65-2.89, 4 Ti 2.70-2.84
Ti 0.1507 0.3874 0.0686  4 Ti 2.70-2.77, 4 Ga 2.73-3.01, 1 Hf 2.91
Hf 0.0000 0.0000 0.0000  6 Ga 2.76, 6 Ti 2.91
Ga 0.7170 0.8716 0.2592  7 Ti 2.65-2.93, 1 Hf 2.76, 2 Ga 2.96
Ga 0.7408 0.2830 0.1284  7 Ti 2.65-2.93, 1 Hf 2.76, 2 Ga 2.96
Ti 0.0686 0.1507 0.3874  4 Ti 2.70-2.77, 4 Ga 2.73-3.01, 1 Hf 2.91
Ti 0.9314 0.8493 0.6126  4 Ti 2.70-2.77, 4 Ga 2.73-3.01, 1 Hf 2.91
Ti 0.4405 0.8035 0.5232  4 Ga 2.65-2.89, 4 Ti 2.70-2.84
Ti 0.8493 0.6126 0.9314  4 Ti 2.70-2.77, 4 Ga 2.73-3.01, 1 Hf 2.91
Ti 0.4768 0.5595 0.1965  4 Ga 2.65-2.89, 4 Ti 2.70-2.84
Ti 0.1965 0.4768 0.5595  4 Ga 2.65-2.89, 4 Ti 2.70-2.84
Ti 0.6126 0.9314 0.8493  4 Ti 2.70-2.77, 4 Ga 2.73-3.01, 1 Hf 2.91
Ga 0.2830 0.1284 0.7408  7 Ti 2.65-2.93, 1 Hf 2.76, 2 Ga 2.96
Ga 0.8716 0.2592 0.7170  7 Ti 2.65-2.93, 1 Hf 2.76, 2 Ga 2.96
Ga 0.1284 0.7408 0.2830  7 Ti 2.65-2.93, 1 Hf 2.76, 2 Ga 2.96
Ti 0.5595 0.1965 0.4768  4 Ga 2.65-2.89, 4 Ti 2.70-2.84
Ga 0.2592 0.7170 0.8716  7 Ti 2.65-2.93, 1 Hf 2.76, 2 Ga 2.96

Output
The calculation puts the formation energy from the elements at -0.204 eV/atom. The density is 6.0 g cm⁻³.

***

Material: Hf3TiGa5
Method: DFT, PBE-GGA
State: optimized geometry

Cell lengths 5.5153, 8.2038, 8.2038 Å; angles 120.00, 90.00, 90.00 degrees
Last column: nearest neighbours and their distance in Å.
Positions (direct):
Ga 0.2500 0.2815 0.0000  2 Ti 2.69, 5 Hf 2.78-2.87
Ga 0.0000 0.3333 0.6667  2 Ga 2.76, 6 Hf 2.92
Ga 0.7500 0.7185 0.0000  2 Ti 2.69, 5 Hf 2.78-2.87
Hf 0.7500 0.0000 0.3770  9 Ga 2.78-2.92
Ti 0.0000 0.0000 0.0000  6 Ga 2.69, 2 Ti 2.76
Hf 0.7500 0.3770 0.0000  9 Ga 2.78-2.92
Hf 0.7500 0.6230 0.6230  9 Ga 2.78-2.92
Hf 0.2500 0.0000 0.6230  9 Ga 2.78-2.92
Ga 0.0000 0.6667 0.3333  2 Ga 2.76, 6 Hf 2.92
Ti 0.5000 0.0000 0.0000  6 Ga 2.69, 2 Ti 2.76
Hf 0.2500 0.6230 0.0000  9 Ga 2.78-2.92
Ga 0.7500 0.0000 0.7185  2 Ti 2.69, 5 Hf 2.78-2.87
Hf 0.2500 0.3770 0.3770  9 Ga 2.78-2.92
Ga 0.5000 0.6667 0.3333  2 Ga 2.76, 6 Hf 2.92
Ga 0.5000 0.3333 0.6667  2 Ga 2.76, 6 Hf 2.92
Ga 0.2500 0.0000 0.2815  2 Ti 2.69, 5 Hf 2.78-2.87
Ga 0.2500 0.7185 0.7185  2 Ti 2.69, 5 Hf 2.78-2.87
Ga 0.7500 0.2815 0.2815  2 Ti 2.69, 5 Hf 2.78-2.87

Output
The calculation puts the formation energy from the elements at -0.377 eV/atom. The density is 9.6 g cm⁻³.

***

Values of Fermi-level density of states, in order: 9.51 5.81 15.96 4.93 15.27 11.33 12.66 13.63 7.29 4.42 24.24 12.46, all in states/eV per cell.